The following is a DFT calculation (PBE with a Hubbard U) of crystalline K2VO4 at its relaxed geometry.

abc: 5.806 6.236 7.709
angles: 90.00 114.53 90.00
Site moments in Bohr magnetons follow the coordinates.
Positions (direct):
K1 0.662 0.750 0.963  0.00
K2 0.338 0.250 0.037  0.00
K3 0.080 0.250 0.392  0.00
K4 0.920 0.750 0.608  0.00
V1 0.300 0.750 0.260  -0.12
V2 0.700 0.250 0.740  -0.12
O1 0.485 0.514 0.345  0.39
O2 0.211 0.750 0.017  0.14
O3 0.789 0.250 0.983  0.14
O4 0.485 0.986 0.345  0.39
O5 0.963 0.250 0.693  0.07
O6 0.515 0.014 0.655  0.39
O7 0.515 0.486 0.655  0.39
O8 0.037 0.750 0.307  0.07

Computed properties:
E_tot in eV/f.u.: -41.35
Space-group type: No. 11